Record 1
A geometry-optimized Ho3Er4Zr structure, computed with PBE-GGA.

* SG: Pmn2_1
* DFT formation energy: 34 meV per atom

Cell: 11.008 7.101 6.124 Å, 90.00 90.00 90.00°
Sites, in units of the cell vectors:
Ho  0.000  0.118  0.000
Ho  0.248  0.121  0.329
Ho  0.252  0.879  0.829
Ho  0.500  0.882  0.500
Ho  0.748  0.879  0.829
Ho  0.752  0.121  0.329
Er  0.000  0.374  0.501
Er  0.000  0.632  0.999
Er  0.244  0.629  0.340
Er  0.256  0.371  0.840
Er  0.500  0.368  0.499
Er  0.500  0.626  0.001
Er  0.744  0.371  0.840
Er  0.756  0.629  0.340
Zr  0.000  0.875  0.504
Zr  0.500  0.125  0.004

***

Record 2
A geometry-optimized Rb12Cd5Au3 structure, computed with PBE-GGA.

* SG: Ia-3d
* DFT formation energy: 86 meV per atom

Cell: 18.459 18.459 18.459 Å, 109.47 109.47 109.47°
Sites, in units of the cell vectors:
Rb  0.064  0.235  0.130
Rb  0.064  0.329  0.934
Rb  0.066  0.630  0.395
Rb  0.066  0.936  0.671
Rb  0.105  0.735  0.671
Rb  0.105  0.870  0.434
Rb  0.130  0.064  0.235
Rb  0.130  0.566  0.895
Rb  0.171  0.235  0.605
Rb  0.171  0.436  0.566
Rb  0.235  0.130  0.064
Rb  0.235  0.605  0.171
Rb  0.265  0.329  0.895
Rb  0.265  0.436  0.370
Rb  0.329  0.895  0.265
Rb  0.329  0.934  0.064
Rb  0.370  0.265  0.436
Rb  0.370  0.605  0.934
Rb  0.395  0.066  0.630
Rb  0.395  0.829  0.765
Rb  0.434  0.105  0.870
Rb  0.434  0.829  0.564
Rb  0.436  0.370  0.265
Rb  0.436  0.566  0.171
Rb  0.564  0.434  0.829
Rb  0.564  0.630  0.735
Rb  0.566  0.171  0.436
Rb  0.566  0.895  0.130
Rb  0.605  0.171  0.235
Rb  0.605  0.934  0.370
Rb  0.630  0.395  0.066
Rb  0.630  0.735  0.564
Rb  0.671  0.066  0.936
Rb  0.671  0.105  0.735
Rb  0.735  0.564  0.630
Rb  0.735  0.671  0.105
Rb  0.765  0.395  0.829
Rb  0.765  0.870  0.936
Rb  0.829  0.564  0.434
Rb  0.829  0.765  0.395
Rb  0.870  0.434  0.105
Rb  0.870  0.936  0.765
Rb  0.895  0.130  0.566
Rb  0.895  0.265  0.329
Rb  0.934  0.064  0.329
Rb  0.934  0.370  0.605
Rb  0.936  0.671  0.066
Rb  0.936  0.765  0.870
Cd  0.000  0.000  0.000
Cd  0.000  0.000  0.500
Cd  0.000  0.500  0.000
Cd  0.000  0.500  0.500
Cd  0.125  0.750  0.875
Cd  0.125  0.875  0.250
Cd  0.250  0.125  0.875
Cd  0.250  0.625  0.375
Cd  0.375  0.250  0.625
Cd  0.375  0.625  0.750
Cd  0.500  0.000  0.000
Cd  0.500  0.000  0.500
Cd  0.500  0.500  0.000
Cd  0.500  0.500  0.500
Cd  0.625  0.375  0.250
Cd  0.625  0.750  0.375
Cd  0.750  0.375  0.625
Cd  0.750  0.875  0.125
Cd  0.875  0.125  0.750
Cd  0.875  0.250  0.125
Au  0.125  0.250  0.375
Au  0.125  0.375  0.750
Au  0.250  0.375  0.125
Au  0.250  0.875  0.625
Au  0.375  0.125  0.250
Au  0.375  0.750  0.125
Au  0.625  0.250  0.875
Au  0.625  0.875  0.750
Au  0.750  0.125  0.375
Au  0.750  0.625  0.875
Au  0.875  0.625  0.250
Au  0.875  0.750  0.625

***

Record 3
A geometry-optimized LaCoBr2 structure, computed with PBE-GGA.

* SG: I-42d
* E_form (uncorrected): -0.385 eV/atom

Cell: 9.704 9.704 9.704 Å, 151.14 151.14 41.27°
Sites, in units of the cell vectors:
La  0.000  0.000  0.000
La  0.750  0.250  0.500
Co  0.250  0.750  0.500
Co  0.500  0.500  0.000
Br  0.162  0.625  0.037
Br  0.375  0.412  0.537
Br  0.588  0.125  0.963
Br  0.875  0.838  0.463

***

Record 4
A geometry-optimized PmZn2Pd2Au structure, computed with PBE-GGA.

* SG: P4/mmm
* DFT formation energy: -215 meV per atom

Cell: 4.757 4.757 5.649 Å, 90.00 90.00 90.00°
Sites, in units of the cell vectors:
Pm  0.000  0.000  0.000
Zn  0.000  0.500  0.500
Zn  0.500  0.000  0.500
Pd  0.500  0.500  0.245
Pd  0.500  0.500  0.755
Au  0.000  0.000  0.500

***

Record 5
A geometry-optimized CsPrCuO3 structure, computed with PBE-GGA.

* SG: P2_1/m
* E_form (uncorrected): -1.862 eV/atom

Cell: 8.097 3.870 9.129 Å, 90.00 111.78 90.00°
Sites, in units of the cell vectors:
Cs  0.201  0.250  0.202
Cs  0.799  0.750  0.798
Pr  0.328  0.750  0.856
Pr  0.672  0.250  0.144
Cu  0.043  0.250  0.623
Cu  0.957  0.750  0.377
O  0.054  0.750  0.604
O  0.136  0.250  0.851
O  0.475  0.750  0.127
O  0.525  0.250  0.873
O  0.864  0.750  0.149
O  0.946  0.250  0.396

***

Record 6
A geometry-optimized AlSb2Te structure, computed with PBE-GGA.

* SG: Imm2
* E_form (uncorrected): 0.089 eV/atom

Cell: 6.710 6.710 6.710 Å, 146.34 137.92 54.93°
Sites, in units of the cell vectors:
Al  0.000  0.000  0.000
Sb  0.480  0.480  0.000
Sb  0.818  0.318  0.500
Te  0.171  0.671  0.500

***

Record 7
A geometry-optimized Gd2LuGa structure, computed with PBE-GGA.

* SG: P4/mmm
* DFT formation energy: -258 meV per atom

Cell: 3.533 3.533 8.885 Å, 90.00 90.00 90.00°
Sites, in units of the cell vectors:
Gd  0.000  0.000  0.214
Gd  0.000  0.000  0.786
Lu  0.500  0.500  0.500
Ga  0.500  0.500  0.000

***

Record 8
A geometry-optimized AlGeAu structure, computed with PBE-GGA.

* SG: P-1
* DFT formation energy: -72 meV per atom

Cell: 4.488 4.558 6.742 Å, 78.25 71.24 60.59°
Sites, in units of the cell vectors:
Al  0.208  0.312  0.287
Al  0.792  0.688  0.713
Ge  0.384  0.358  0.861
Ge  0.616  0.642  0.139
Au  0.139  0.031  0.678
Au  0.861  0.969  0.322

***

no.,N(E_F) (states/eV per cell)
1,27.99
2,101.84
3,8.27
4,3.68
5,2.22
6,1.51
7,5.86
8,1.61